First-principles (PBE-GGA) data for a geometry-optimized Sb2IrPt structure, as listed in Alexandria via LeMat-Bulk.

Output
ΔE_f (raw), eV per atom: -0.062
Calculated density, g/cm3: 12.610
DFT total energy, eV per cell: -23.394
SG: No. 12
Energy above the lowest structure with this stoichiometry, meV per atom: 66

Cell lengths 3.8765, 3.8765, 6.7385 Å; angles 73.20, 73.20, 60.51 degrees
Fractional positions:
1 Ir 0.2500 0.2500 0.2500
2 Pt 0.7500 0.7500 0.7500
3 Sb 0.9969 0.9969 0.0081
4 Sb 0.5031 0.5031 0.4919



First-principles (PBE-GGA) data for a geometry-optimized Cs3CdPb4 structure, as listed in Alexandria via LeMat-Bulk.

Output
Calculated density, g/cm3: 5.817
DFT total energy, eV per cell: -39.876
DFT formation energy, eV per atom: -0.204
SG: No. 59

Cell lengths 6.9753, 7.5232, 14.5784 Å; angles 90.00, 90.00, 90.00 degrees
Fractional positions:
1 Cs 0.5487 0.0000 0.0000
2 Cs 0.4513 0.5000 0.5000
3 Cs 0.8159 0.5000 0.7444
4 Cs 0.8159 0.5000 0.2556
5 Cs 0.1841 0.0000 0.7556
6 Cs 0.1841 0.0000 0.2444
7 Pb 0.3115 0.5000 0.8900
8 Pb 0.3115 0.5000 0.1100
9 Pb 0.0412 0.2426 0.0000
10 Pb 0.0412 0.7574 0.0000
11 Pb 0.9588 0.7426 0.5000
12 Pb 0.9588 0.2574 0.5000
13 Pb 0.6885 0.0000 0.3900
14 Pb 0.6885 0.0000 0.6100
15 Cd 0.7014 0.5000 0.0000
16 Cd 0.2986 0.0000 0.5000



First-principles (PBE-GGA) data for a geometry-optimized NdPdAu2 structure, as listed in Alexandria via LeMat-Bulk.

Output
Calculated density, g/cm3: 12.898
DFT total energy, eV per cell: -18.752
DFT formation energy, eV per atom: -0.559
SG: No. 123
Energy above the lowest structure with this stoichiometry, meV per atom: 145

Cell lengths 4.2315, 4.4286, 4.4286 Å; angles 90.00, 90.00, 90.00 degrees
Fractional positions:
1 Nd 0.5000 0.0000 0.0000
2 Au 0.0000 0.0000 0.5000
3 Au 0.0000 0.5000 0.0000
4 Pd 0.5000 0.5000 0.5000



First-principles (PBE-GGA) data for a geometry-optimized PaFe3B structure, as listed in Alexandria via LeMat-Bulk.

Output
Calculated density, g/cm3: 11.014
DFT total energy, eV per cell: -43.267
DFT formation energy, eV per atom: -0.341
SG: No. 221
Energy above the lowest structure with this stoichiometry, meV per atom: 0

Cell lengths 3.9520, 3.9520, 3.9520 Å; angles 90.00, 90.00, 90.00 degrees
Fractional positions:
1 B 0.0000 0.0000 0.0000
2 Pa 0.5000 0.5000 0.5000
3 Fe 0.0000 0.5000 0.0000
4 Fe 0.0000 0.0000 0.5000
5 Fe 0.5000 0.0000 0.0000



First-principles (PBE-GGA) data for a geometry-optimized CaMg3Os structure, as listed in Alexandria via LeMat-Bulk.

Output
Calculated density, g/cm3: 3.912
DFT total energy, eV per cell: -16.890
DFT formation energy, eV per atom: 0.225
SG: No. 221
Energy above the lowest structure with this stoichiometry, meV per atom: 0

Cell lengths 5.0488, 5.0488, 5.0488 Å; angles 90.00, 90.00, 90.00 degrees
Fractional positions:
1 Ca 0.5000 0.5000 0.5000
2 Os 0.0000 0.0000 0.0000
3 Mg 0.0000 0.5000 0.0000
4 Mg 0.0000 0.0000 0.5000
5 Mg 0.5000 0.0000 0.0000



First-principles (PBE-GGA) data for a geometry-optimized RbLiEr2Br8 structure, as listed in Alexandria via LeMat-Bulk.

Output
ΔE_f (raw), eV per atom: -1.741
Calculated density, g/cm3: 4.052
DFT total energy, eV per cell: -46.288
SG: No. 10

Cell lengths 7.2716, 7.0509, 8.6236 Å; angles 89.98, 89.98, 81.21 degrees
Fractional positions:
1 Rb 0.0000 0.0000 0.5000
2 Li 0.0000 0.0000 0.0000
3 Er 0.5000 0.5001 0.7591
4 Er 0.5000 0.4999 0.2409
5 Br 0.1676 0.7390 0.2127
6 Br 0.6302 0.7187 0.0000
7 Br 0.8322 0.2605 0.2125
8 Br 0.8324 0.2610 0.7873
9 Br 0.3698 0.2813 0.0000
10 Br 0.1678 0.7395 0.7875
11 Br 0.6204 0.7063 0.4999
12 Br 0.3796 0.2937 0.5001



First-principles (PBE-GGA) data for a geometry-optimized CaNi4As2 structure, as listed in Alexandria via LeMat-Bulk.

Output
Calculated density, g/cm3: 7.022
DFT total energy, eV per cell: -76.084
DFT formation energy, eV per atom: -0.517
SG: No. 136

Cell lengths 3.7157, 7.3524, 7.3524 Å; angles 90.00, 90.00, 90.00 degrees
Fractional positions:
1 Ca 0.5000 0.0000 0.0000
2 Ca 0.0000 0.5000 0.5000
3 Ni 0.0000 0.0834 0.3423
4 Ni 0.0000 0.9166 0.6577
5 Ni 0.5000 0.1577 0.5834
6 Ni 0.5000 0.8423 0.4166
7 Ni 0.5000 0.4166 0.8423
8 Ni 0.5000 0.5834 0.1577
9 Ni 0.0000 0.3423 0.0834
10 Ni 0.0000 0.6577 0.9166
11 As 0.0000 0.2213 0.7787
12 As 0.0000 0.7787 0.2213
13 As 0.5000 0.7213 0.7213
14 As 0.5000 0.2787 0.2787



First-principles (PBE-GGA) data for a geometry-optimized TaBeNi2 structure, as listed in Alexandria via LeMat-Bulk.

Output
Calculated density, g/cm3: 10.755
DFT total energy, eV per cell: -27.783
DFT formation energy, eV per atom: -0.160
SG: No. 99

Cell lengths 2.7688, 2.7688, 6.1902 Å; angles 90.00, 90.00, 90.00 degrees
Fractional positions:
1 Ni 0.0000 0.0000 0.9698
2 Ni 0.5000 0.5000 0.2148
3 Be 0.5000 0.5000 0.8009
4 Ta 0.0000 0.0000 0.5144



First-principles (PBE-GGA) data for a geometry-optimized Sc3In2Ga structure, as listed in Alexandria via LeMat-Bulk.

Output
Calculated density, g/cm3: 5.633
DFT total energy, eV per cell: -30.420
DFT formation energy, eV per atom: -0.487
SG: No. 123

Cell lengths 3.1639, 3.1639, 12.7876 Å; angles 90.00, 90.00, 90.00 degrees
Fractional positions:
1 Sc 0.0000 0.0000 0.0000
2 Sc 0.0000 0.0000 0.6480
3 Sc 0.0000 0.0000 0.3520
4 In 0.5000 0.5000 0.8257
5 In 0.5000 0.5000 0.1743
6 Ga 0.5000 0.5000 0.5000



First-principles (PBE-GGA) data for a geometry-optimized Cd2AgOs structure, as listed in Alexandria via LeMat-Bulk.

Output
Calculated density, g/cm3: 12.059
DFT total energy, eV per cell: -13.639
DFT formation energy, eV per atom: 0.568
SG: No. 71
Energy above the lowest structure with this stoichiometry, meV per atom: 223

Cell lengths 5.6081, 5.6081, 5.6081 Å; angles 148.57, 127.77, 62.24 degrees
Fractional positions:
1 Os 0.7500 0.2500 0.5000
2 Ag 0.2500 0.7500 0.5000
3 Cd 0.9975 0.9975 0.0000
4 Cd 0.5025 0.5025 0.0000



First-principles (PBE-GGA) data for a geometry-optimized PaGaRuRh structure, as listed in Alexandria via LeMat-Bulk.

Output
Calculated density, g/cm3: 11.848
DFT total energy, eV per cell: -31.405
DFT formation energy, eV per atom: -0.564
SG: No. 216

Cell lengths 4.6422, 4.6422, 4.6422 Å; angles 60.00, 60.00, 60.00 degrees
Fractional positions:
1 Ru 0.7500 0.7500 0.7500
2 Pa 0.0000 0.0000 0.0000
3 Rh 0.2500 0.2500 0.2500
4 Ga 0.5000 0.5000 0.5000



First-principles (PBE-GGA) data for a geometry-optimized LaPd5Au2 structure, as listed in Alexandria via LeMat-Bulk.

Output
Calculated density, g/cm3: 11.331
DFT total energy, eV per cell: -39.722
DFT formation energy, eV per atom: -0.284
SG: No. 71
Energy above the lowest structure with this stoichiometry, meV per atom: 150

Cell lengths 3.9992, 6.6575, 6.6575 Å; angles 71.38, 72.52, 72.52 degrees
Fractional positions:
1 La 0.0000 0.0000 0.0000
2 Pd 0.0000 0.5000 0.5000
3 Pd 0.6383 0.5422 0.1813
4 Pd 0.3617 0.4578 0.8187
5 Pd 0.3617 0.8187 0.4578
6 Pd 0.6383 0.1813 0.5422
7 Au 0.7295 0.7705 0.7705
8 Au 0.2705 0.2295 0.2295



In the order shown, the computed magnetic moment values come out to 0.0; 0.0; 0.0; 1.3; 0.0; 0.0; 0.0; 0.0; 0.0; 0.5; 0.1; 0.0 μB/cell.